Record 1
# Dy6AgPd5, optimized geometry, DFT GGA-PBE
# VASP energy: -131.68 eV per cell
# Energy above the most stable polymorph in this dataset: 0.000 eV/atom
# Formation enthalpy at 0 K: -0.785 eV per atom
# Total magnetic moment: 0.00 μB per cell
data_Dy6AgPd5
_space_group_name_H-M_alt 'C m m m'
_space_group_IT_number 65
_space_group_name_Hall '-C 2 2'
_cell_length_a 4.992
_cell_length_b 14.916
_cell_length_c 7.084
_cell_angle_alpha 90.00
_cell_angle_beta 90.00
_cell_angle_gamma 90.00
loop_
_atom_site_label
_atom_site_fract_x
_atom_site_fract_y
_atom_site_fract_z
Dy1 0.000 0.000 0.244
Dy2 0.000 0.331 0.248
Ag1 0.000 0.500 0.500
Pd1 0.000 0.164 0.500
Pd2 0.000 0.167 0.000
Pd3 0.000 0.500 0.000



Record 2
# Dy3AgPd2, optimized geometry, DFT GGA-PBE
# VASP energy: -62.38 eV per cell
# Energy above the most stable polymorph in this dataset: 0.004 eV/atom
# Formation enthalpy at 0 K: -0.691 eV per atom
# Total magnetic moment: 0.00 μB per cell
data_Dy3AgPd2
_space_group_name_H-M_alt 'P -3 m 1'
_space_group_IT_number 164
_space_group_name_Hall '-P 3 2"'
_cell_length_a 5.0137
_cell_length_b 5.0137
_cell_length_c 12.3248
_cell_angle_alpha 90.00
_cell_angle_beta 90.00
_cell_angle_gamma 120.00
loop_
_atom_site_label
_atom_site_fract_x
_atom_site_fract_y
_atom_site_fract_z
Dy1 0.0000 0.0000 0.2429
Dy2 0.3333 0.6667 0.4170
Dy3 0.3333 0.6667 0.9226
Ag1 0.3333 0.6667 0.6701
Pd1 0.0000 0.0000 0.0000
Pd2 0.0000 0.0000 0.5000
Pd3 0.3333 0.6667 0.1709



Record 3
# Dy8Ag2Pd, optimized geometry, DFT GGA-PBE
# VASP energy: -100.62 eV per cell
# Formation enthalpy at 0 K: -0.236 eV per atom
# Total magnetic moment: 0.00 μB per cell
data_Dy8Ag2Pd
_space_group_name_H-M_alt 'C 1 2/m 1'
_space_group_IT_number 12
_cell_length_a 17.592
_cell_length_b 5.190
_cell_length_c 6.831
_cell_angle_alpha 90.00
_cell_angle_beta 105.80
_cell_angle_gamma 90.00
loop_
_space_group_symop_operation_xyz
'x,y,z'
'-x,-y,-z'
'-x,y,-z'
'x,-y,z'
'x+1/2,y+1/2,z'
'-x+1/2,-y+1/2,-z'
'-x+1/2,y+1/2,-z'
'x+1/2,-y+1/2,z'
loop_
_atom_site_label
_atom_site_fract_x
_atom_site_fract_y
_atom_site_fract_z
Dy1 0.027 0.000 0.280
Dy2 0.090 0.500 0.946
Dy3 0.161 0.500 0.473
Dy4 0.201 0.000 0.817
Ag1 0.186 0.000 0.228
Pd1 0.000 0.500 0.500



Record 4
# Dy5Ag4Pd, optimized geometry, DFT GGA-PBE
# VASP energy: -43.97 eV per cell
# Formation enthalpy at 0 K: -0.436 eV per atom
# Total magnetic moment: 0.00 μB per cell
data_Dy5Ag4Pd
_space_group_name_H-M_alt 'P 4/m m m'
_space_group_IT_number 123
_space_group_name_Hall '-P 4 2'
_cell_length_a 3.590
_cell_length_b 3.590
_cell_length_c 18.282
_cell_angle_alpha 90.00
_cell_angle_beta 90.00
_cell_angle_gamma 90.00
loop_
_atom_site_label
_atom_site_fract_x
_atom_site_fract_y
_atom_site_fract_z
Dy1 0.000 0.000 0.000
Dy2 0.000 0.000 0.204
Dy3 0.000 0.000 0.407
Ag1 0.500 0.500 0.102
Ag2 0.500 0.500 0.304
Pd1 0.500 0.500 0.500